Run one
DFT (GGA-PBE) results for AgSb2Rh after structural relaxation.

## Properties
The total moment is 0.00 μB/cell. The volume is 22.3 Å³/atom.

Cell: 3.5592 3.5592 24.3968 Å, 90.00 90.00 120.00°
Closest atoms and distances in Å follow each position.
Space group R3m (No. 160, hexagonal axes)
Unique sites:
Ag: 0.0000 0.0000 0.0000 (multiplicity 3)  3 Rh 2.84, 3 Sb 2.86
Sb: 0.0000 0.0000 0.2516 (multiplicity 3)  3 Ag 2.86
Sb: 0.0000 0.0000 0.4758 (multiplicity 3)  3 Rh 2.55
Rh: 0.0000 0.0000 0.7469 (multiplicity 3)  3 Sb 2.55, 3 Ag 2.84

=====

Run two
DFT (GGA-PBE) results for AgSb2Rh after structural relaxation.

## Properties
The total moment is 0.00 μB/cell. The volume is 21.7 Å³/atom.

Cell: 3.2126 4.1962 12.8632 Å, 90.00 90.00 90.00°
Closest atoms and distances in Å follow each position.
Space group Imm2 (No. 44)
Unique sites:
Ag: 0.0000 0.0000 0.0000 (multiplicity 2)  6 Sb 2.94-3.05, 2 Rh 3.17, 2 Ag 3.21
Sb: 0.0000 0.0000 0.6178 (multiplicity 2)  2 Rh 2.71
Sb: 0.0000 0.5000 0.8403 (multiplicity 2)  4 Rh 2.73, 2 Ag 2.94
Rh: 0.0000 0.5000 0.2876 (multiplicity 2)  6 Sb 2.71-2.73

=====

Run three
DFT (GGA-PBE) results for AgSb2Rh after structural relaxation.

## Properties
The total moment is 0.00 μB/cell. The volume is 20.3 Å³/atom.

Cell: 4.1478 4.1478 9.4207 Å, 90.00 90.00 90.00°
Closest atoms and distances in Å follow each position.
Space group I-4m2 (No. 119)
Unique sites:
Ag: 0.0000 0.0000 0.0000 (multiplicity 2)  8 Sb 2.93-3.14, 4 Rh 3.14
Sb: 0.0000 0.0000 0.5000 (multiplicity 2)  4 Ag 2.93, 4 Sb 3.14, 4 Rh 3.14
Sb: 0.0000 0.5000 0.2500 (multiplicity 2)  4 Rh 2.93, 4 Sb 3.14, 4 Ag 3.14
Rh: 0.0000 0.5000 0.7500 (multiplicity 2)  8 Sb 2.93-3.14, 4 Ag 3.14

=====

We find run two to be the most stable, with the next structure 153 meV per atom higher.

=====

Run one
DFT (GGA-PBE) results for AgSb2Rh after structural relaxation.

## Properties
The total moment is 0.00 μB/cell. The volume is 27.1 Å³/atom.

Cell: 6.6645 6.6645 9.7575 Å, 90.00 90.00 90.00°
Closest atoms and distances in Å follow each position.
Space group I-42d (No. 122)
Unique sites:
Ag: 0.0000 0.0000 0.0000 (multiplicity 4)  4 Sb 2.77
Sb: 0.2227 0.2500 0.6250 (multiplicity 8)  2 Rh 2.54, 2 Ag 2.77
Rh: 0.0000 0.0000 0.5000 (multiplicity 4)  4 Sb 2.54

=====

Run two
DFT (GGA-PBE) results for AgSb2Rh after structural relaxation.

## Properties
The total moment is 0.00 μB/cell. The volume is 20.6 Å³/atom.

Cell: 6.9121 6.9121 6.9121 Å, 90.00 90.00 90.00°
Closest atoms and distances in Å follow each position.
Space group F-43m (No. 216)
Unique sites:
Ag: 0.0000 0.0000 0.0000 (multiplicity 4)  4 Sb 2.99, 4 Rh 2.99
Sb: 0.0000 0.0000 0.5000 (multiplicity 4)  4 Rh 2.99, 4 Sb 2.99
Sb: 0.2500 0.2500 0.7500 (multiplicity 4)  4 Sb 2.99, 4 Ag 2.99
Rh: 0.2500 0.2500 0.2500 (multiplicity 4)  4 Sb 2.99, 4 Ag 2.99

=====

Run three
DFT (GGA-PBE) results for AgSb2Rh after structural relaxation.

## Properties
The total moment is 0.00 μB/cell. The volume is 21.3 Å³/atom.

Cell: 8.2275 3.3873 6.2851 Å, 90.00 102.96 90.00°
Closest atoms and distances in Å follow each position.
Space group C2/m (No. 12)
Unique sites:
Ag: 0.0000 0.0000 0.0000 (multiplicity 2)  6 Sb 2.92-2.99
Sb: 0.2383 0.0000 0.7187 (multiplicity 4)  3 Rh 2.72-2.80, 3 Ag 2.92-2.99
Rh: 0.0000 0.5000 0.5000 (multiplicity 2)  6 Sb 2.72-2.80

=====

We find run three to be the most stable, with the next structure 196 meV per atom higher.

=====

Run one
DFT (GGA-PBE) results for AgSb2Rh after structural relaxation.

## Properties
The total moment is 0.00 μB/cell. The volume is 20.6 Å³/atom.

Cell: 4.1364 3.6993 10.7564 Å, 90.00 90.00 90.00°
Closest atoms and distances in Å follow each position.
Space group Amm2 (No. 38)
Unique sites:
Ag: 0.0000 0.0000 0.0000 (multiplicity 2)  2 Rh 2.85, 7 Sb 2.86-3.09
Sb: 0.0000 0.0000 0.7306 (multiplicity 2)  4 Rh 2.82, 3 Ag 2.90-3.09
Sb: 0.5000 0.0000 0.4354 (multiplicity 2)  1 Rh 2.72, 4 Ag 2.86
Rh: 0.5000 0.0000 0.1829 (multiplicity 2)  5 Sb 2.72-2.82, 2 Ag 2.85

=====

Run two
DFT (GGA-PBE) results for AgSb2Rh after structural relaxation.

## Properties
The total moment is 0.00 μB/cell. The volume is 20.6 Å³/atom.

Cell: 3.2386 3.2386 7.8635 Å, 90.00 90.00 90.00°
Closest atoms and distances in Å follow each position.
Space group P4/mmm (No. 123)
Unique sites:
Ag: 0.0000 0.0000 0.0000 (multiplicity 1)  8 Sb 3.20, 4 Ag 3.24
Sb: 0.5000 0.5000 0.2835 (multiplicity 2)  4 Rh 2.85
Rh: 0.0000 0.0000 0.5000 (multiplicity 1)  8 Sb 2.85

=====

We find run two to be the most stable, with the next structure 29 meV per atom higher.

=====

Run one
DFT (GGA-PBE) results for AgSb2Rh after structural relaxation.

## Properties
The total moment is 0.00 μB/cell. The volume is 21.4 Å³/atom.

Cell: 3.2165 3.2165 8.2760 Å, 90.00 90.00 90.00°
Closest atoms and distances in Å follow each position.
Space group P4mm (No. 99)
Unique sites:
Ag: 0.0000 0.0000 0.0000 (multiplicity 1)  4 Rh 2.95, 4 Sb 3.04, 4 Ag 3.22
Sb: 0.0000 0.0000 0.3991 (multiplicity 1)  4 Rh 2.69
Sb: 0.5000 0.5000 0.7563 (multiplicity 1)  4 Ag 3.04, 4 Sb 3.22
Rh: 0.5000 0.5000 0.2263 (multiplicity 1)  4 Sb 2.69, 4 Ag 2.95

=====

Run two
DFT (GGA-PBE) results for AgSb2Rh after structural relaxation.

## Properties
The total moment is 0.00 μB/cell. The volume is 21.6 Å³/atom.

Cell: 9.3719 3.5488 5.3448 Å, 90.00 103.44 90.00°
Closest atoms and distances in Å follow each position.
Space group Cm (No. 8)
Unique sites:
Ag: 0.0000 0.0000 0.0000 (multiplicity 2)  5 Sb 2.68-2.92, 3 Rh 2.89-2.99
Sb: 0.2514 0.0000 0.8430 (multiplicity 2)  3 Ag 2.68-2.89, 2 Rh 2.76
Sb: 0.4764 0.0000 0.4234 (multiplicity 2)  3 Rh 2.75-2.98, 2 Ag 2.92
Rh: 0.2525 0.5000 0.2380 (multiplicity 2)  5 Sb 2.75-2.98, 3 Ag 2.89-2.99

=====

We find run one to be the most stable, with the next structure 33 meV per atom higher.

=====

Run one
DFT (GGA-PBE) results for AgSb2Rh2 after structural relaxation.

## Properties
The total moment is 0.00 μB/cell. The volume is 21.3 Å³/atom.

Cell: 4.3512 4.3512 11.2284 Å, 90.00 90.00 90.00°
Closest atoms and distances in Å follow each position.
Space group I4/mmm (No. 139)
Unique sites:
Ag: 0.0000 0.0000 0.0000 (multiplicity 2)  8 Rh 3.35, 8 Sb 3.55
Sb: 0.0000 0.5000 0.2500 (multiplicity 4)  4 Rh 2.64
Rh: 0.0000 0.0000 0.3826 (multiplicity 4)  1 Rh 2.64, 4 Sb 2.64

=====

Run two
DFT (GGA-PBE) results for AgSb2Rh2 after structural relaxation.

## Properties
The total moment is 0.00 μB/cell. The volume is 21.2 Å³/atom.

Cell: 4.1394 4.1394 12.4014 Å, 90.00 90.00 90.00°
Closest atoms and distances in Å follow each position.
Space group I4/mmm (No. 139)
Unique sites:
Ag: 0.0000 0.0000 0.0000 (multiplicity 2)  8 Sb 3.29
Sb: 0.0000 0.0000 0.3781 (multiplicity 4)  4 Rh 2.61
Rh: 0.0000 0.5000 0.2500 (multiplicity 4)  4 Sb 2.61

=====

Run three
DFT (GGA-PBE) results for AgSb2Rh2 after structural relaxation.

## Properties
The total moment is 0.00 μB/cell. The volume is 18.7 Å³/atom.

Cell: 7.4995 7.4995 3.3307 Å, 90.00 90.00 90.00°
Closest atoms and distances in Å follow each position.
Space group P4/mbm (No. 127)
Unique sites:
Ag: 0.0000 0.0000 0.0000 (multiplicity 2)  4 Rh 2.91
Sb: 0.1577 0.3423 0.5000 (multiplicity 4)  6 Rh 2.73-2.78
Rh: 0.1378 0.6378 0.0000 (multiplicity 4)  6 Sb 2.73-2.78, 2 Ag 2.91, 1 Rh 2.92

=====

We find run three to be the most stable, with the next structure 126 meV per atom higher.

=====

Run one
DFT (GGA-PBE) results for AgSb2TeRh after structural relaxation.

## Properties
The total moment is 0.00 μB/cell. The volume is 28.4 Å³/atom.

Cell: 5.0238 5.0238 5.6255 Å, 90.00 90.00 90.00°
Closest atoms and distances in Å follow each position.
Space group P4/mmm (No. 123)
Unique sites:
Ag: 0.0000 0.0000 0.0000 (multiplicity 1)  4 Te 3.55, 8 Sb 3.77
Sb: 0.0000 0.5000 0.5000 (multiplicity 2)  2 Rh 2.51
Te: 0.5000 0.5000 0.0000 (multiplicity 1)  2 Rh 2.81
Rh: 0.5000 0.5000 0.5000 (multiplicity 1)  4 Sb 2.51, 2 Te 2.81

=====

Run two
DFT (GGA-PBE) results for AgSb2TeRh after structural relaxation.

## Properties
The total moment is 0.00 μB/cell. The volume is 29.3 Å³/atom.

Cell: 5.2309 5.2309 5.3506 Å, 90.00 90.00 90.00°
Closest atoms and distances in Å follow each position.
Space group P4/mmm (No. 123)
Unique sites:
Ag: 0.0000 0.0000 0.0000 (multiplicity 1)  4 Sb 2.62, 2 Te 2.68
Sb: 0.0000 0.5000 0.0000 (multiplicity 2)  2 Ag 2.62
Te: 0.0000 0.0000 0.5000 (multiplicity 1)  2 Ag 2.68
Rh: 0.5000 0.5000 0.5000 (multiplicity 1)  4 Te 3.70, 8 Sb 3.74

=====

We find run one to be the most stable, with the next structure 702 meV per atom higher.

=====

Run one
DFT (GGA-PBE) results for AgSbTe2Rh after structural relaxation.

## Properties
The total moment is 0.67 μB/cell. The volume is 30.0 Å³/atom.

Cell: 5.3639 5.3639 5.2079 Å, 90.00 90.00 90.00°
Closest atoms and distances in Å follow each position.
Space group P4/mmm (No. 123)
Unique sites:
Ag: 0.0000 0.0000 0.0000 (multiplicity 1)  2 Sb 2.60, 4 Te 2.68
Sb: 0.0000 0.0000 0.5000 (multiplicity 1)  2 Ag 2.60
Te: 0.0000 0.5000 0.0000 (multiplicity 2)  2 Ag 2.68
Rh: 0.5000 0.5000 0.5000 (multiplicity 1)  8 Te 3.74, 4 Sb 3.79

=====

Run two
DFT (GGA-PBE) results for AgSbTe2Rh after structural relaxation.

## Properties
The total moment is 0.00 μB/cell. The volume is 28.8 Å³/atom.

Cell: 5.4000 5.4000 4.9305 Å, 90.00 90.00 90.00°
Closest atoms and distances in Å follow each position.
Space group P4/mmm (No. 123)
Unique sites:
Ag: 0.0000 0.0000 0.0000 (multiplicity 1)  8 Te 3.66, 4 Sb 3.82
Sb: 0.5000 0.5000 0.0000 (multiplicity 1)  2 Rh 2.47
Te: 0.0000 0.5000 0.5000 (multiplicity 2)  2 Rh 2.70
Rh: 0.5000 0.5000 0.5000 (multiplicity 1)  2 Sb 2.47, 4 Te 2.70

=====

We find run two to be the most stable, with the next structure 691 meV per atom higher.

=====

Run one
DFT (GGA-PBE) results for ScAgRh after structural relaxation.

## Properties
The total moment is 0.00 μB/cell. The volume is 17.6 Å³/atom.

Cell: 3.3332 3.3332 9.4894 Å, 90.00 90.00 90.00°
Closest atoms and distances in Å follow each position.
Space group I4mm (No. 107)
Unique sites:
Sc: 0.0000 0.0000 0.0000 (multiplicity 2)  4 Rh 2.69, 5 Ag 2.94-2.99
Ag: 0.0000 0.0000 0.3150 (multiplicity 2)  5 Rh 2.90-3.06, 5 Sc 2.94-2.99
Rh: 0.0000 0.0000 0.6370 (multiplicity 2)  4 Sc 2.69, 4 Ag 2.90

=====

Run two
DFT (GGA-PBE) results for ScAgRh after structural relaxation.

## Properties
The total moment is 0.00 μB/cell. The volume is 20.0 Å³/atom.

Cell: 6.2165 6.2165 6.2165 Å, 90.00 90.00 90.00°
Closest atoms and distances in Å follow each position.
Space group F-43m (No. 216)
Unique sites:
Sc: 0.0000 0.0000 0.0000 (multiplicity 4)  4 Ag 2.69, 4 Rh 2.69
Ag: 0.2500 0.2500 0.2500 (multiplicity 4)  4 Sc 2.69
Rh: 0.2500 0.2500 0.7500 (multiplicity 4)  4 Sc 2.69

=====

We find run one to be the most stable, with the next structure 440 meV per atom higher.